[1]
# RbNa2H

RbNa2H after structural relaxation (PBE, Alexandria).

Cell lengths 8.3865, 8.3865, 8.3865 Å; angles 90.00, 90.00, 90.00 degrees
Last column: nearest neighbours and their distance in Å.
Space group Fm-3m (No. 225)
Unique sites:
Rb 0.0000 0.0000 0.0000  8 Na 3.63
Na 0.2500 0.2500 0.2500  4 H 3.63, 4 Rb 3.63
H 0.0000 0.0000 0.5000  8 Na 3.63

## Properties
energy above the most stable polymorph in this dataset	0.388	eV per atom
DOS at the Fermi energy	0.498	states/eV/atom


[2]
# RbNa2H

RbNa2H after structural relaxation (PBE, Alexandria).

Cell lengths 7.5729, 7.5729, 10.7673 Å; angles 90.00, 90.00, 90.00 degrees
Last column: nearest neighbours and their distance in Å.
Space group I4_1/amd (No. 141, origin choice 2)
Unique sites:
Rb 0.0000 0.2500 0.3750  12 Na 4.44-4.46, 4 H 4.65, 4 Rb 4.65
Na 0.0000 0.0000 0.0000  2 H 2.32
H 0.0000 0.2500 0.8750  4 Na 2.32

## Properties
energy above the most stable polymorph in this dataset	0.000	eV per atom
DOS at the Fermi energy	0.844	states/eV/atom


[3]
# Rb2Na3H5

Rb2Na3H5 after structural relaxation (PBE, Alexandria).

Cell lengths 12.9051, 3.8069, 9.2419 Å; angles 90.00, 124.25, 90.00 degrees
Last column: nearest neighbours and their distance in Å.
Space group C2/m (No. 12)
Unique sites:
Rb 0.1753 0.0000 0.2640  7 H 2.88-3.03
Na 0.0000 0.0000 0.5000  6 H 2.51-2.54
Na 0.1109 0.5000 0.8705  4 H 2.28-2.38
H 0.0000 0.5000 0.0000  2 Na 2.33
H 0.0802 0.5000 0.4125  3 Na 2.38-2.51
H 0.1828 0.0000 0.8197  3 Na 2.28-2.54

## Properties
energy	-24.367	eV/f.u.
DOS at the Fermi energy	0.000	states/eV/atom


[4]
# RbNaH2

RbNaH2 after structural relaxation (PBE, Alexandria).

Cell lengths 6.7224, 6.7224, 6.7224 Å; angles 90.00, 90.00, 90.00 degrees
Last column: nearest neighbours and their distance in Å.
Space group Fm-3m (No. 225)
Unique sites:
Rb 0.0000 0.0000 0.0000  8 H 2.91
Na 0.0000 0.0000 0.5000  8 H 2.91
H 0.2500 0.2500 0.2500  4 Na 2.91, 4 Rb 2.91

## Properties
energy above the most stable polymorph in this dataset	0.196	eV per atom
DOS at the Fermi energy	0.000	states/eV/atom


[5]
# RbNaH

RbNaH after structural relaxation (PBE, Alexandria).

Cell lengths 4.6967, 4.6967, 9.1338 Å; angles 90.00, 90.00, 90.00 degrees
Last column: nearest neighbours and their distance in Å.
Space group P4/mmm (No. 123)
Unique sites:
Rb 0.0000 0.0000 0.2060  4 H 3.01
Na 0.5000 0.5000 0.0000  4 H 2.35
Na 0.5000 0.5000 0.5000  8 Rb 4.27, 6 Na 4.57-4.70
H 0.0000 0.5000 0.0000  2 Na 2.35

## Properties
energy above the most stable polymorph in this dataset	0.000	eV per atom
DOS at the Fermi energy	0.140	states/eV/atom


[6]
# RbNaH2

RbNaH2 after structural relaxation (PBE, Alexandria).

Cell lengths 7.1244, 7.4531, 6.3934 Å; angles 90.00, 104.39, 90.00 degrees
Last column: nearest neighbours and their distance in Å.
Space group P2_1/c (No. 14)
Unique sites:
Rb 0.1693 0.0833 0.3050  6 H 2.92-3.08
Na 0.3670 0.6652 0.3547  5 H 2.29-2.52
H 0.1361 0.7458 0.5331  2 Na 2.30-2.39
H 0.4310 0.1223 0.7656  3 Na 2.29-2.52

## Properties
energy above the most stable polymorph in this dataset	0.010	eV per atom
DOS at the Fermi energy	0.000	states/eV/atom


Which formula does entry 5 have?
RbNaH


Look up the DOS at the Fermi energy of the sixth one.
0.000 states/eV/atom